Arrangement i

DFT (PBE) results for a relaxed ZrP2NCl crystal. Values from VASP.

Structure (Quantum ESPRESSO input):
```
&SYSTEM
  ibrav = 0, nat = 5, ntyp = 4
/
ATOMIC_SPECIES
P 30.97 P.upf
Cl 35.45 Cl.upf
N 14.01 N.upf
Zr 91.22 Zr.upf
CELL_PARAMETERS angstrom
-3.2569 -0.4503 -3.8951
-3.2345 -2.5536 2.9998
-2.2149 4.3853 1.3449
ATOMIC_POSITIONS crystal
P 0.0000 0.5000 0.0000
P 0.5000 0.0000 0.0000
Cl 0.0000 0.0000 0.5000
N 0.5000 0.5000 0.5000
Zr 0.0000 0.0000 0.0000
```

=====

Arrangement ii

DFT (PBE) results for a relaxed ZrP2NCl crystal. Values from VASP.

Structure (Quantum ESPRESSO input):
```
&SYSTEM
  ibrav = 0, nat = 5, ntyp = 4
/
ATOMIC_SPECIES
N 14.01 N.upf
P 30.97 P.upf
Zr 91.22 Zr.upf
Cl 35.45 Cl.upf
CELL_PARAMETERS angstrom
3.9930 0.0000 0.0000
0.0000 3.9930 0.0000
0.0000 0.0000 4.6006
ATOMIC_POSITIONS crystal
N 0.0000 0.0000 0.0000
P 0.0000 0.5000 0.0000
P 0.5000 0.0000 0.0000
Zr 0.5000 0.5000 0.5000
Cl 0.0000 0.0000 0.5000
```

=====

Which one sits at the top of the stability order? arrangement ii does.